## NaBeAu (PBE)

Data for a relaxed NaBeAu crystal.

The crystal system is hexagonal. Its volume is 19.95 A^3/atom. As for the relative energy among the computed polymorphs: 2 meV per atom. The calculation puts the total magnetic moment at 0.0 μB per formula unit. The calculation puts the calculated total energy at -2.781 eV/atom. Its formation energy is -0.007 eV/atom.

It has space group P-6m2 (No. 187), with a = 3.9332 Å, b = 3.9332 Å, c = 4.4679 Å, α = 90.00°, β = 90.00° and γ = 120.00°. The distinct sites, in fractional coordinates, are Na at (0.0000, 0.0000, 0.0000), Be at (0.3333, 0.6667, 0.5000) and Au at (0.6667, 0.3333, 0.5000).

---

## NaBe5Au7 (PBE)

Data for a relaxed NaBe5Au7 crystal.

The crystal system is orthorhombic. Its volume is 14.83 A^3/atom. The calculation puts the total magnetic moment at 0.0 μB per formula unit. The calculation puts the calculated total energy at -3.443 eV/atom. Its formation energy is -0.144 eV/atom.

It has space group Imm2 (No. 44), with a = 5.115 Å, b = 8.540 Å, c = 8.826 Å, α = 90.00°, β = 90.00° and γ = 90.00°. The distinct sites, in fractional coordinates, are Na at (0.000, 0.000, 0.000), Be at (0.000, 0.500, 0.750), Be at (0.248, 0.249, 0.265), Au at (0.000, 0.000, 0.326), Au at (0.000, 0.000, 0.665), Au at (0.000, 0.313, 0.541), Au at (0.000, 0.333, 0.982) and Au at (0.000, 0.500, 0.277).

---

## NaBe4Au (PBE)

Data for a relaxed NaBe4Au crystal.

The crystal system is cubic. Its volume is 11.24 A^3/atom. The calculation puts the total magnetic moment at 0.0 μB per formula unit. The calculation puts the calculated total energy at -3.199 eV/atom. Its formation energy is 0.051 eV/atom.

It has space group F-43m (No. 216), with a = 6.462 Å, b = 6.462 Å, c = 6.462 Å, α = 90.00°, β = 90.00° and γ = 90.00°. The distinct sites, in fractional coordinates, are Na at (0.000, 0.000, 0.000), Be at (0.123, 0.123, 0.377) and Au at (0.250, 0.250, 0.750).

---

## NaBe2Au5 (PBE)

Data for a relaxed NaBe2Au5 crystal.

The crystal system is orthorhombic. Its volume is 17.41 A^3/atom. The calculation puts the total magnetic moment at 0.0 μB per formula unit. The calculation puts the calculated total energy at -3.289 eV/atom. Its formation energy is -0.145 eV/atom.

It has space group Immm (No. 71), with a = 3.855 Å, b = 6.884 Å, c = 10.495 Å, α = 90.00°, β = 90.00° and γ = 90.00°. The distinct sites, in fractional coordinates, are Na at (0.000, 0.000, 0.000), Be at (0.000, 0.500, 0.229), Au at (0.000, 0.213, 0.348) and Au at (0.000, 0.500, 0.000).

---

## NaBeNiAu2 (PBE)

Data for a relaxed NaBeNiAu2 crystal.

The crystal system is tetragonal. Its volume is 17.57 A^3/atom. The calculation puts the total magnetic moment at 0.5 μB per formula unit. The calculation puts the calculated total energy at -2.995 eV/atom. Its formation energy is 0.482 eV/atom.

It has space group P4/mmm (No. 123), with a = 4.363 Å, b = 4.363 Å, c = 4.615 Å, α = 90.00°, β = 90.00° and γ = 90.00°. The distinct sites, in fractional coordinates, are Na at (0.000, 0.000, 0.000), Be at (0.000, 0.000, 0.500), Ni at (0.500, 0.500, 0.000) and Au at (0.000, 0.500, 0.500).

---

## Na2BeAuO4 (PBE)

Data for a relaxed Na2BeAuO4 crystal.

The crystal system is tetragonal. Its volume is 12.02 A^3/atom. For the uncorrected formation energy, the calculation gives -1.17 eV/atom. The calculation puts the total magnetic moment at 1.0 μB per formula unit. The calculation puts the calculated total energy at -4.850 eV/atom.

It has space group I-4 (No. 82), with a = 5.661 Å, b = 5.661 Å, c = 6.003 Å, α = 90.00°, β = 90.00° and γ = 90.00°. The distinct sites, in fractional coordinates, are Na at (0.000, 0.000, 0.000), Na at (0.000, 0.500, 0.250), Be at (0.000, 0.000, 0.500), Au at (0.000, 0.500, 0.750) and O at (0.140, 0.819, 0.676).

---

## NaBePAu (PBE)

Data for a relaxed NaBePAu crystal.

The crystal system is tetragonal. Its volume is 18.71 A^3/atom. The calculation puts the total magnetic moment at 0.0 μB per formula unit. The calculation puts the calculated total energy at -3.730 eV/atom. Its formation energy is -0.297 eV/atom.

It has space group P4/nmm (No. 129, origin choice 2), with a = 3.733 Å, b = 3.733 Å, c = 10.740 Å, α = 90.00°, β = 90.00° and γ = 90.00°. The distinct sites, in fractional coordinates, are Na at (0.250, 0.250, 0.250), Be at (0.250, 0.750, 0.000), P at (0.250, 0.250, 0.882) and Au at (0.250, 0.750, 0.500).

---

## NaBe2PAu2 (PBE)

Data for a relaxed NaBe2PAu2 crystal.

The crystal system is tetragonal. Its volume is 17.11 A^3/atom. The calculation puts the total magnetic moment at 0.0 μB per formula unit. The calculation puts the calculated total energy at -3.483 eV/atom. Its formation energy is -0.027 eV/atom.

It has space group P4/mmm (No. 123), with a = 4.278 Å, b = 4.278 Å, c = 5.612 Å, α = 90.00°, β = 90.00° and γ = 90.00°. The distinct sites, in fractional coordinates, are Na at (0.000, 0.000, 0.000), Be at (0.000, 0.500, 0.500), P at (0.000, 0.000, 0.500) and Au at (0.500, 0.500, 0.243).